Density functional theory data (PBE) for AcMg3CdAg after structural relaxation.

Cell: 7.9635 7.9635 6.3024 Å, 90.00 90.00 125.64°
Last column: nearest neighbours and their distance in Å.
Atoms (fractional coordinates):
Ac 0.2123 0.7877 0.7500  1 Cd 3.17, 2 Ag 3.29
Ac 0.7877 0.2123 0.2500  1 Cd 3.17, 2 Ag 3.29
Mg 0.1992 0.1992 0.0000  2 Cd 2.85, 3 Mg 2.90-3.15, 2 Ag 2.98
Mg 0.1992 0.1992 0.5000  2 Cd 2.85, 3 Mg 2.90-3.15, 2 Ag 2.98
Mg 0.3554 0.6446 0.2500  1 Cd 2.96, 1 Ag 2.96
Mg 0.6446 0.3554 0.7500  1 Cd 2.96, 1 Ag 2.96
Mg 0.8008 0.8008 0.0000  2 Cd 2.85, 3 Mg 2.90-3.15, 2 Ag 2.98
Mg 0.8008 0.8008 0.5000  2 Cd 2.85, 3 Mg 2.90-3.15, 2 Ag 2.98
Cd 0.4359 0.5641 0.7500  5 Mg 2.85-2.96, 1 Ac 3.17
Cd 0.5641 0.4359 0.2500  5 Mg 2.85-2.96, 1 Ac 3.17
Ag 0.1463 0.8537 0.2500  5 Mg 2.96-2.98, 2 Ac 3.29
Ag 0.8537 0.1463 0.7500  5 Mg 2.96-2.98, 2 Ac 3.29

Values from the calculation:
**Space group**: Cmcm, No. 63
**Calculated total energy**: -2.153 eV/atom
**DFT formation energy**: -0.043 eV per atom

Density functional theory data (PBE) for BaCr4 after structural relaxation.

Cell: 6.5483 6.5483 6.5483 Å, 141.92 141.92 54.94°
Last column: nearest neighbours and their distance in Å.
Atoms (fractional coordinates):
Ba 0.0000 0.0000 0.0000  16 Cr 3.47-3.61
Cr 0.2500 0.7500 0.5000  4 Cr 2.45
Cr 0.3537 0.3537 0.0000  4 Cr 2.45
Cr 0.6463 0.6463 0.0000  4 Cr 2.45
Cr 0.7500 0.2500 0.5000  4 Cr 2.45

Values from the calculation:
**Space group**: I4/mmm, No. 139
**Energy above the most stable polymorph in this dataset**: 0.0 meV/atom
**Calculated total energy**: -7.359 eV/atom
**DFT formation energy**: 0.724 eV per atom

Density functional theory data (PBE) for AlCu2Pt6 after structural relaxation.

Cell: 8.1418 8.1418 3.9673 Å, 90.00 90.00 90.00°
Last column: nearest neighbours and their distance in Å.
Atoms (fractional coordinates):
Al 0.0000 0.0000 0.0000  8 Pt 2.59-2.65, 4 Cu 2.89
Al 0.5000 0.5000 0.5000  8 Pt 2.59-2.65, 4 Cu 2.89
Cu 0.1825 0.1825 0.5000  10 Pt 2.67-2.81, 2 Al 2.89
Cu 0.3175 0.6825 0.0000  10 Pt 2.67-2.81, 2 Al 2.89
Cu 0.6825 0.3175 0.0000  10 Pt 2.67-2.81, 2 Al 2.89
Cu 0.8175 0.8175 0.5000  10 Pt 2.67-2.81, 2 Al 2.89
Pt 0.0109 0.3247 0.0000  1 Al 2.65, 3 Cu 2.67-2.69, 8 Pt 2.77-2.86
Pt 0.1447 0.8553 0.5000  2 Al 2.59, 4 Cu 2.68-2.81, 6 Pt 2.77-2.82
Pt 0.1753 0.5109 0.5000  1 Al 2.65, 3 Cu 2.67-2.69, 8 Pt 2.77-2.86
Pt 0.3247 0.0109 0.0000  1 Al 2.65, 3 Cu 2.67-2.69, 8 Pt 2.77-2.86
Pt 0.3553 0.3553 0.0000  2 Al 2.59, 4 Cu 2.68-2.81, 6 Pt 2.77-2.82
Pt 0.4891 0.8247 0.5000  1 Al 2.65, 3 Cu 2.67-2.69, 8 Pt 2.77-2.86
Pt 0.5109 0.1753 0.5000  1 Al 2.65, 3 Cu 2.67-2.69, 8 Pt 2.77-2.86
Pt 0.6447 0.6447 0.0000  2 Al 2.59, 4 Cu 2.68-2.81, 6 Pt 2.77-2.82
Pt 0.6753 0.9891 0.0000  1 Al 2.65, 3 Cu 2.67-2.69, 8 Pt 2.77-2.86
Pt 0.8247 0.4891 0.5000  1 Al 2.65, 3 Cu 2.67-2.69, 8 Pt 2.77-2.86
Pt 0.8553 0.1447 0.5000  2 Al 2.59, 4 Cu 2.68-2.81, 6 Pt 2.77-2.82
Pt 0.9891 0.6753 0.0000  1 Al 2.65, 3 Cu 2.67-2.69, 8 Pt 2.77-2.86

Values from the calculation:
**Space group**: P4_2/mnm, No. 136
**Energy above the most stable polymorph in this dataset**: 0.0 meV/atom
**Calculated total energy**: -5.746 eV/atom
**DFT formation energy**: -0.393 eV per atom

Density functional theory data (PBE) for CaMgCo2 after structural relaxation.

Cell: 5.5582 5.5582 5.5582 Å, 146.41 130.04 61.55°
Last column: nearest neighbours and their distance in Å.
Atoms (fractional coordinates):
Ca 0.0000 0.0000 0.0000  8 Co 2.88-3.14, 4 Mg 3.09-3.20, 2 Ca 3.21
Mg 0.2903 0.7903 0.5000  6 Co 2.92-2.95, 4 Ca 3.09-3.20, 2 Mg 3.21
Co 0.5498 0.5498 0.0000  2 Co 2.28
Co 0.7191 0.2191 0.5000  2 Co 2.28

Values from the calculation:
**Space group**: Imm2, No. 44
**Calculated total energy**: -4.214 eV/atom
**DFT formation energy**: 0.238 eV per atom

Density functional theory data (PBE) for AcPm2Pt2 after structural relaxation.

Cell: 4.3516 7.7858 9.7294 Å, 84.59 77.11 73.86°
Last column: nearest neighbours and their distance in Å.
Atoms (fractional coordinates):
Ac 0.1500 0.2451 0.4582  4 Pt 3.02-3.38
Ac 0.8500 0.7549 0.5417  4 Pt 3.02-3.38
Pm 0.2337 0.6466 0.8867  4 Pt 2.88-3.09
Pm 0.4852 0.8512 0.1793  4 Pt 2.91-2.98
Pm 0.5148 0.1488 0.8207  4 Pt 2.91-2.98
Pm 0.7663 0.3534 0.1133  4 Pt 2.88-3.09
Pt 0.1041 0.5803 0.2106  5 Pm 2.93-3.09
Pt 0.1760 0.9525 0.6935  3 Pm 2.88-2.91, 3 Ac 3.02-3.07
Pt 0.8240 0.0475 0.3065  3 Pm 2.88-2.91, 3 Ac 3.02-3.07
Pt 0.8959 0.4197 0.7894  5 Pm 2.93-3.09

Values from the calculation:
**Space group**: P-1, No. 2
**Energy above the most stable polymorph in this dataset**: 0.0 meV/atom
**Calculated total energy**: -6.051 eV/atom
**DFT formation energy**: -0.913 eV per atom

Density functional theory data (PBE) for Cs2PuAgBr6 after structural relaxation.

Cell: 7.9892 7.9892 6.9056 Å, 90.00 90.00 120.00°
Last column: nearest neighbours and their distance in Å.
Atoms (fractional coordinates):
Cs 0.3333 0.6667 0.2586  12 Br 4.00-4.17
Cs 0.6667 0.3333 0.7414  12 Br 4.00-4.17
Pu 0.0000 0.0000 0.0000  6 Br 2.88
Ag 0.0000 0.0000 0.5000  6 Br 2.91
Br 0.1679 0.3358 0.7542  1 Pu 2.88, 1 Ag 2.91
Br 0.1679 0.8321 0.7542  1 Pu 2.88, 1 Ag 2.91
Br 0.3358 0.1679 0.2458  1 Pu 2.88, 1 Ag 2.91
Br 0.6642 0.8321 0.7542  1 Pu 2.88, 1 Ag 2.91
Br 0.8321 0.1679 0.2458  1 Pu 2.88, 1 Ag 2.91
Br 0.8321 0.6642 0.2458  1 Pu 2.88, 1 Ag 2.91

Values from the calculation:
**Space group**: P-3m1, No. 164
**Calculated total energy**: -4.327 eV/atom
**Formation energy (no corrections)**: -1.4343 eV per atom

| no. | M_tot (μB/f.u.) |
| --- | --- |
| 1 | 0.00 |
| 2 | 0.94 |
| 3 | 0.00 |
| 4 | 2.84 |
| 5 | 0.00 |
| 6 | 5.00 |